Density functional theory data (PBE) for a relaxed ScIrCl3 crystal.

```
ScIrCl3
1.0
5.013 0.000 0.000
0.000 5.013 0.000
0.000 0.000 5.013
Sc Ir Cl
1 1 3
Direct
0.000 0.000 0.000 Sc
0.500 0.500 0.500 Ir
0.000 0.000 0.500 Cl
0.000 0.500 0.000 Cl
0.500 0.000 0.000 Cl
```

Computed properties:
Symmetry: No. 221
Mass density in kg/m³: 4528
Formation energy without anion corrections in meV per atom: -180

---

Density functional theory data (PBE) for a relaxed Sc2IrCl crystal.

```
Sc2IrCl
1.0
3.711 0.000 0.000
0.000 3.711 0.000
0.000 0.000 10.967
Sc Ir Cl
4 2 2
Direct
0.000 0.000 0.000 Sc
0.000 0.500 0.250 Sc
0.500 0.000 0.750 Sc
0.500 0.500 0.500 Sc
0.000 0.000 0.500 Ir
0.500 0.500 0.000 Ir
0.000 0.500 0.750 Cl
0.500 0.000 0.250 Cl
```

Computed properties:
Symmetry: No. 119
Mass density in kg/m³: 6985
Formation energy without anion corrections in meV per atom: -589

---

Density functional theory data (PBE) for a relaxed ScIrCl crystal.

```
ScIrCl
1.0
3.248 0.000 0.000
-1.624 2.813 0.000
0.000 0.000 6.810
Sc Ir Cl
1 1 1
Direct
0.000 0.000 0.000 Sc
0.333 0.667 0.739 Ir
0.667 0.333 0.261 Cl
```

Computed properties:
Symmetry: No. 156
Mass density in kg/m³: 7275
Formation energy without anion corrections in meV per atom: -807

---

Density functional theory data (PBE) for a relaxed ScIrCl crystal.

```
ScIrCl
1.0
4.346 0.000 0.000
-2.173 3.764 0.000
0.000 0.000 3.117
Sc Ir Cl
1 1 1
Direct
0.000 0.000 0.000 Sc
0.667 0.333 0.500 Ir
0.333 0.667 0.430 Cl
```

Computed properties:
Symmetry: No. 156
Mass density in kg/m³: 8877
Formation energy without anion corrections in meV per atom: -377

---

Density functional theory data (PBE) for a relaxed ScIr2Cl crystal.

```
ScIr2Cl
1.0
3.005 0.000 0.000
0.000 3.731 0.000
0.000 0.000 7.778
Sc Ir Cl
1 2 1
Direct
0.000 0.000 0.000 Sc
0.000 0.000 0.664 Ir
0.500 0.500 0.770 Ir
0.500 0.500 0.195 Cl
```

Computed properties:
Symmetry: No. 25
Mass density in kg/m³: 8852
Formation energy without anion corrections in meV per atom: -387

---

Density functional theory data (PBE) for a relaxed Sc2IrCl crystal.

```
Sc2IrCl
1.0
6.657 0.000 0.000
0.000 6.657 0.000
0.000 0.000 6.657
Sc Ir Cl
8 4 4
Direct
0.250 0.250 0.250 Sc
0.250 0.250 0.750 Sc
0.250 0.750 0.250 Sc
0.250 0.750 0.750 Sc
0.750 0.250 0.250 Sc
0.750 0.250 0.750 Sc
0.750 0.750 0.250 Sc
0.750 0.750 0.750 Sc
0.000 0.000 0.000 Ir
0.000 0.500 0.500 Ir
0.500 0.000 0.500 Ir
0.500 0.500 0.000 Ir
0.000 0.000 0.500 Cl
0.000 0.500 0.000 Cl
0.500 0.000 0.000 Cl
0.500 0.500 0.500 Cl
```

Computed properties:
Symmetry: No. 225
Mass density in kg/m³: 7150
Formation energy without anion corrections in meV per atom: -641

---

Density functional theory data (PBE) for a relaxed Sc2IrCl crystal.

```
Sc2IrCl
1.0
3.131 0.000 0.000
0.000 3.131 0.000
0.000 0.000 9.127
Sc Ir Cl
2 1 1
Direct
0.000 0.000 0.000 Sc
0.500 0.500 0.307 Sc
0.500 0.500 0.840 Ir
0.000 0.000 0.467 Cl
```

Computed properties:
Symmetry: No. 99
Mass density in kg/m³: 5893
Formation energy without anion corrections in meV per atom: -575

---

Density functional theory data (PBE) for a relaxed Sc2IrCl crystal.

```
Sc2IrCl
1.0
3.123 0.000 0.000
0.000 3.123 0.000
0.000 0.000 7.752
Sc Ir Cl
2 1 1
Direct
0.000 0.000 0.218 Sc
0.000 0.000 0.782 Sc
0.500 0.500 0.000 Ir
0.500 0.500 0.500 Cl
```

Computed properties:
Symmetry: No. 123
Mass density in kg/m³: 6974
Formation energy without anion corrections in meV per atom: -1011

---

Density functional theory data (PBE) for a relaxed Sc2IrCl crystal.

```
Sc2IrCl
1.0
3.165 0.000 0.000
0.000 3.558 0.000
0.000 0.000 14.473
Sc Ir Cl
4 2 2
Direct
0.000 0.000 0.000 Sc
0.000 0.500 0.283 Sc
0.500 0.000 0.783 Sc
0.500 0.500 0.500 Sc
0.000 0.000 0.414 Ir
0.500 0.500 0.914 Ir
0.000 0.500 0.664 Cl
0.500 0.000 0.164 Cl
```

Computed properties:
Symmetry: No. 44
Mass density in kg/m³: 6471
Formation energy without anion corrections in meV per atom: -949

---

Density functional theory data (PBE) for a relaxed ScIrCl4 crystal.

```
ScIrCl4
1.0
0.000 3.999 3.999
3.999 0.000 3.999
3.999 3.999 0.000
Sc Ir Cl
1 1 4
Direct
0.000 0.000 0.000 Sc
0.250 0.250 0.250 Ir
0.126 0.625 0.625 Cl
0.625 0.126 0.625 Cl
0.625 0.625 0.126 Cl
0.625 0.625 0.625 Cl
```

Computed properties:
Symmetry: No. 216
Mass density in kg/m³: 4922
Formation energy without anion corrections in meV per atom: 755

---

Density functional theory data (PBE) for a relaxed ScIrCl crystal.

```
ScIrCl
1.0
4.278 0.000 0.000
0.000 4.305 0.000
0.000 0.000 13.255
Sc Ir Cl
4 4 4
Direct
0.000 0.000 0.000 Sc
0.000 0.500 0.500 Sc
0.500 0.000 0.500 Sc
0.500 0.500 0.000 Sc
0.000 0.000 0.625 Ir
0.000 0.500 0.125 Ir
0.500 0.000 0.125 Ir
0.500 0.500 0.625 Ir
0.000 0.000 0.370 Cl
0.000 0.500 0.870 Cl
0.500 0.000 0.870 Cl
0.500 0.500 0.370 Cl
```

Computed properties:
Symmetry: No. 42
Mass density in kg/m³: 7418
Formation energy without anion corrections in meV per atom: -740

---

Density functional theory data (PBE) for a relaxed ScIr3Cl crystal.

```
ScIr3Cl
1.0
4.456 0.000 0.000
0.000 4.456 0.000
0.000 0.000 4.456
Sc Ir Cl
1 3 1
Direct
0.000 0.000 0.000 Sc
0.000 0.500 0.500 Ir
0.500 0.000 0.500 Ir
0.500 0.500 0.000 Ir
0.500 0.500 0.500 Cl
```

Computed properties:
Symmetry: No. 221
Mass density in kg/m³: 12333
Formation energy without anion corrections in meV per atom: 843

---

Density functional theory data (PBE) for a relaxed ScIr2Cl crystal.

```
ScIr2Cl
1.0
2.903 0.000 0.000
0.000 5.091 0.000
-0.077 0.000 4.489
Sc Ir Cl
1 2 1
Direct
0.000 0.000 0.000 Sc
0.245 0.500 0.750 Ir
0.755 0.500 0.250 Ir
0.500 0.000 0.500 Cl
```

Computed properties:
Symmetry: No. 10
Mass density in kg/m³: 11635
Formation energy without anion corrections in meV per atom: -187

---

Density functional theory data (PBE) for a relaxed ScIr2Cl crystal.

```
ScIr2Cl
1.0
4.868 0.000 0.000
0.000 9.843 0.000
0.000 0.000 3.021
Sc Ir Cl
2 4 2
Direct
0.000 0.000 0.000 Sc
0.500 0.500 0.000 Sc
0.250 0.250 0.500 Ir
0.250 0.750 0.500 Ir
0.750 0.250 0.500 Ir
0.750 0.750 0.500 Ir
0.000 0.500 0.000 Cl
0.500 0.000 0.000 Cl
```

Computed properties:
Symmetry: No. 65
Mass density in kg/m³: 10666
Formation energy without anion corrections in meV per atom: 169

---

Density functional theory data (PBE) for a relaxed ScIr2Cl crystal.

```
ScIr2Cl
1.0
2.898 0.000 0.000
0.000 2.898 0.000
0.000 0.000 9.132
Sc Ir Cl
1 2 1
Direct
0.000 0.000 0.000 Sc
0.000 0.000 0.588 Ir
0.500 0.500 0.777 Ir
0.500 0.500 0.178 Cl
```

Computed properties:
Symmetry: No. 99
Mass density in kg/m³: 10062
Formation energy without anion corrections in meV per atom: -296

---

Density functional theory data (PBE) for a relaxed ScIr2Cl crystal.

```
ScIr2Cl
1.0
2.980 0.000 0.000
-1.490 2.581 0.000
0.000 0.000 29.244
Sc Ir Cl
3 6 3
Direct
0.000 0.000 0.000 Sc
0.333 0.667 0.667 Sc
0.667 0.333 0.333 Sc
0.000 0.000 0.479 Ir
0.000 0.000 0.741 Ir
0.333 0.667 0.146 Ir
0.333 0.667 0.407 Ir
0.667 0.333 0.074 Ir
0.667 0.333 0.813 Ir
0.000 0.000 0.272 Cl
0.333 0.667 0.938 Cl
0.667 0.333 0.605 Cl
```

Computed properties:
Symmetry: No. 160
Mass density in kg/m³: 10297
Formation energy without anion corrections in meV per atom: -149

---

Density functional theory data (PBE) for a relaxed ScIr3Cl crystal.

```
ScIr3Cl
1.0
4.835 0.000 0.000
0.000 4.835 0.000
0.000 0.000 4.835
Sc Ir Cl
1 3 1
Direct
0.000 0.000 0.000 Sc
0.000 0.000 0.500 Ir
0.000 0.500 0.000 Ir
0.500 0.000 0.000 Ir
0.500 0.500 0.500 Cl
```

Computed properties:
Symmetry: No. 221
Mass density in kg/m³: 9650
Formation energy without anion corrections in meV per atom: 1840

---

Density functional theory data (PBE) for a relaxed ScIrSeCl2 crystal.

```
ScIrSeCl2
1.0
4.674 0.000 0.000
0.000 4.674 0.000
0.000 0.000 5.822
Sc Ir Se Cl
1 1 1 2
Direct
0.000 0.000 0.000 Sc
0.500 0.500 0.000 Ir
0.000 0.000 0.500 Se
0.000 0.500 0.500 Cl
0.500 0.000 0.500 Cl
```

Computed properties:
Symmetry: No. 123
Mass density in kg/m³: 5053
Formation energy without anion corrections in meV per atom: 717

---

Density functional theory data (PBE) for a relaxed Sc2TlIrCl crystal.

```
Sc2TlIrCl
1.0
5.048 0.000 0.000
0.000 5.048 0.000
0.000 0.000 5.101
Sc Tl Ir Cl
2 1 1 1
Direct
0.000 0.500 0.000 Sc
0.500 0.000 0.000 Sc
0.000 0.000 0.500 Tl
0.500 0.500 0.000 Ir
0.500 0.500 0.500 Cl
```

Computed properties:
Symmetry: No. 123
Mass density in kg/m³: 6669
Formation energy without anion corrections in meV per atom: -42

---

Density functional theory data (PBE) for a relaxed ScZn2IrCl crystal.

```
ScZn2IrCl
1.0
4.856 0.000 0.000
0.000 4.856 0.000
0.000 0.000 4.933
Sc Zn Ir Cl
1 2 1 1
Direct
0.000 0.000 0.000 Sc
0.000 0.500 0.500 Zn
0.500 0.000 0.500 Zn
0.000 0.000 0.500 Ir
0.500 0.500 0.000 Cl
```

Computed properties:
Symmetry: No. 123
Mass density in kg/m³: 5760
Formation energy without anion corrections in meV per atom: -317

---

Density functional theory data (PBE) for a relaxed IrSe2Cl6 crystal.

```
IrSe2Cl6
1.0
3.569 0.000 0.000
0.895 8.418 0.000
0.872 3.028 9.596
Ir Se Cl
1 2 6
Direct
0.000 0.000 0.000 Ir
0.014 0.361 0.580 Se
0.986 0.639 0.420 Se
0.056 0.008 0.766 Cl
0.063 0.250 0.412 Cl
0.461 0.195 0.957 Cl
0.539 0.805 0.043 Cl
0.937 0.750 0.588 Cl
0.944 0.992 0.234 Cl
```

Computed properties:
Symmetry: No. 2
Mass density in kg/m³: 3242
Formation energy without anion corrections in meV per atom: -288

---

Density functional theory data (PBE) for a relaxed IrSeCl2 crystal.

```
IrSeCl2
1.0
3.003 0.000 0.000
0.000 3.003 0.000
0.000 0.000 10.696
Ir Se Cl
1 1 2
Direct
0.000 0.000 0.000 Ir
0.000 0.000 0.500 Se
0.500 0.500 0.155 Cl
0.500 0.500 0.845 Cl
```

Computed properties:
Symmetry: No. 123
Mass density in kg/m³: 5890
Formation energy without anion corrections in meV per atom: 759

---

Density functional theory data (PBE) for a relaxed IrSeCl2 crystal.

```
IrSeCl2
1.0
4.910 0.000 0.000
0.000 4.910 0.000
0.000 0.000 2.966
Ir Se Cl
1 1 2
Direct
0.000 0.000 0.000 Ir
0.500 0.500 0.000 Se
0.000 0.500 0.500 Cl
0.500 0.000 0.500 Cl
```

Computed properties:
Symmetry: No. 123
Mass density in kg/m³: 7944
Formation energy without anion corrections in meV per atom: 1183

---

Density functional theory data (PBE) for a relaxed IrSeCl2 crystal.

```
IrSeCl2
1.0
6.442 0.000 0.000
0.000 3.665 0.000
-0.626 0.000 7.624
Ir Se Cl
2 2 4
Direct
0.000 0.000 0.000 Ir
0.500 0.500 0.000 Ir
0.324 0.000 0.843 Se
0.824 0.500 0.843 Se
0.185 0.500 0.182 Cl
0.460 0.000 0.554 Cl
0.685 0.000 0.182 Cl
0.960 0.500 0.554 Cl
```

Computed properties:
Symmetry: No. 8
Mass density in kg/m³: 6312
Formation energy without anion corrections in meV per atom: -160

---

Density functional theory data (PBE) for a relaxed IrSeCl2 crystal.

```
IrSeCl2
1.0
3.613 0.000 0.000
0.000 4.679 0.000
0.000 0.000 12.914
Ir Se Cl
2 2 4
Direct
0.000 0.000 0.000 Ir
0.000 0.500 0.500 Ir
0.500 0.000 0.121 Se
0.500 0.500 0.621 Se
0.000 0.000 0.458 Cl
0.000 0.500 0.958 Cl
0.500 0.000 0.866 Cl
0.500 0.500 0.366 Cl
```

Computed properties:
Symmetry: No. 38
Mass density in kg/m³: 5204
Formation energy without anion corrections in meV per atom: -212

---

Density functional theory data (PBE) for a relaxed IrSeCl3 crystal.

```
IrSeCl3
1.0
4.825 0.000 0.000
0.000 4.825 0.000
0.000 0.000 4.825
Ir Se Cl
1 1 3
Direct
0.000 0.000 0.000 Ir
0.500 0.500 0.500 Se
0.000 0.000 0.500 Cl
0.000 0.500 0.000 Cl
0.500 0.000 0.000 Cl
```

Computed properties:
Symmetry: No. 221
Mass density in kg/m³: 5579
Formation energy without anion corrections in meV per atom: 408

---

Density functional theory data (PBE) for a relaxed IrSeCl3 crystal.

```
IrSeCl3
1.0
7.526 0.000 0.000
0.000 8.233 0.000
-0.891 0.000 12.312
Ir Se Cl
4 4 12
Direct
0.065 0.126 0.117 Ir
0.065 0.874 0.617 Ir
0.935 0.126 0.383 Ir
0.935 0.874 0.883 Ir
0.041 0.399 0.163 Se
0.041 0.601 0.663 Se
0.959 0.399 0.337 Se
0.959 0.601 0.837 Se
0.082 0.158 0.559 Cl
0.082 0.842 0.059 Cl
0.202 0.063 0.291 Cl
0.202 0.937 0.791 Cl
0.335 0.170 0.041 Cl
0.335 0.830 0.541 Cl
0.665 0.170 0.459 Cl
0.665 0.830 0.959 Cl
0.798 0.063 0.209 Cl
0.798 0.937 0.709 Cl
0.918 0.158 0.941 Cl
0.918 0.842 0.441 Cl
```

Computed properties:
Symmetry: No. 13
Mass density in kg/m³: 3287
Formation energy without anion corrections in meV per atom: -376

---

Density functional theory data (PBE) for a relaxed IrSeCl crystal.

```
IrSeCl
1.0
6.134 0.000 0.000
0.000 6.134 0.000
0.000 0.000 6.134
Ir Se Cl
4 4 4
Direct
0.000 0.000 0.000 Ir
0.000 0.500 0.500 Ir
0.500 0.000 0.500 Ir
0.500 0.500 0.000 Ir
0.250 0.250 0.250 Se
0.250 0.750 0.750 Se
0.750 0.250 0.750 Se
0.750 0.750 0.250 Se
0.250 0.250 0.750 Cl
0.250 0.750 0.250 Cl
0.750 0.250 0.250 Cl
0.750 0.750 0.750 Cl
```

Computed properties:
Symmetry: No. 216
Mass density in kg/m³: 8827
Formation energy without anion corrections in meV per atom: 304

---

Density functional theory data (PBE) for a relaxed IrSeCl2 crystal.

```
IrSeCl2
1.0
4.990 0.000 0.000
0.000 12.994 0.000
0.000 0.000 3.439
Ir Se Cl
2 2 4
Direct
0.000 0.000 0.000 Ir
0.500 0.500 0.000 Ir
0.000 0.500 0.000 Se
0.500 0.000 0.000 Se
0.000 0.125 0.500 Cl
0.000 0.875 0.500 Cl
0.500 0.375 0.500 Cl
0.500 0.625 0.500 Cl
```

Computed properties:
Symmetry: No. 65
Mass density in kg/m³: 5094
Formation energy without anion corrections in meV per atom: -107